No. 1
! Ga3Pb12Au5 PBE-GGA relaxed; values from VASP
! Total magnetic moment   0.0 μB/cell
! Space-group type   Ia-3d (230)
! E_form   0.0837 eV/atom
&SYSTEM
  ibrav = 0, nat = 80, ntyp = 3
/
ATOMIC_SPECIES
Ga 69.72 Ga.upf
Pb 207.20 Pb.upf
Au 196.97 Au.upf
CELL_PARAMETERS angstrom
-8.565 8.565 8.565
8.565 -8.565 8.565
8.565 8.565 -8.565
ATOMIC_POSITIONS angstrom
Ga 4.283 2.141 0.000
Ga 8.565 4.283 -2.141
Ga 2.141 0.000 4.283
Ga 10.706 0.000 4.283
Ga 0.000 4.283 2.141
Ga 4.283 -2.141 8.565
Ga 4.283 10.706 0.000
Ga 8.565 4.283 6.424
Ga -2.141 8.565 4.283
Ga 6.424 8.565 4.283
Ga 0.000 4.283 10.706
Ga 4.283 6.424 8.565
Pb 2.559 -0.377 1.340
Pb 10.288 5.623 -4.660
Pb 8.188 -1.340 2.559
Pb 13.225 -1.723 2.942
Pb 11.124 0.377 1.340
Pb 10.288 -2.942 4.660
Pb 1.340 2.559 -0.377
Pb 11.507 3.905 -1.723
Pb 5.623 4.660 -1.723
Pb 7.225 2.559 0.377
Pb -0.377 1.340 2.559
Pb 4.660 -1.723 5.623
Pb 8.188 7.225 -2.559
Pb 4.660 1.723 2.942
Pb 7.225 -2.559 8.188
Pb 5.623 -4.660 10.288
Pb 2.942 4.660 1.723
Pb 9.905 6.006 0.377
Pb 2.559 8.188 -1.340
Pb 10.288 2.942 3.905
Pb 4.660 10.288 -2.942
Pb 8.188 1.340 6.006
Pb 1.723 2.942 4.660
Pb 2.559 0.377 7.225
Pb 6.006 8.188 1.340
Pb 6.842 5.623 3.905
Pb 0.377 7.225 2.559
Pb 3.905 -1.723 11.507
Pb -1.723 5.623 4.660
Pb 6.006 0.377 9.905
Pb -1.340 2.559 8.188
Pb 5.623 3.905 6.842
Pb 2.942 13.225 -1.723
Pb 1.340 11.124 0.377
Pb 3.905 6.842 5.623
Pb 0.377 1.340 11.124
Pb 3.905 10.288 2.942
Pb 8.942 7.225 6.006
Pb 1.340 6.006 8.188
Pb 2.942 3.905 10.288
Pb -2.942 4.660 10.288
Pb 7.225 6.006 8.942
Pb -1.723 11.507 3.905
Pb -2.559 8.188 7.225
Pb -4.660 10.288 5.623
Pb 0.377 9.905 6.006
Pb -1.723 2.942 13.225
Pb 6.006 8.942 7.225
Au 0.000 0.000 0.000
Au 4.283 4.283 -4.283
Au 4.283 -4.283 4.283
Au 8.565 0.000 0.000
Au 12.848 2.141 0.000
Au 8.565 -4.283 6.424
Au 6.424 8.565 -4.283
Au 6.424 0.000 4.283
Au 4.283 6.424 0.000
Au 8.565 4.283 2.141
Au -4.283 4.283 4.283
Au 0.000 8.565 0.000
Au 0.000 0.000 8.565
Au 4.283 4.283 4.283
Au 0.000 4.283 6.424
Au 4.283 2.141 8.565
Au 2.141 8.565 4.283
Au 2.141 0.000 12.848
Au 0.000 12.848 2.141
Au -4.283 6.424 8.565

No. 2
! PmPuCuAg PBE-GGA relaxed; values from VASP
! Total magnetic moment   5.8 μB/cell
! Space-group type   F-43m (216)
! E_form   0.0121 eV/atom
&SYSTEM
  ibrav = 0, nat = 4, ntyp = 4
/
ATOMIC_SPECIES
Pm 145.00 Pm.upf
Pu 244.00 Pu.upf
Cu 63.55 Cu.upf
Ag 107.87 Ag.upf
CELL_PARAMETERS angstrom
0.000 3.632 3.632
3.632 0.000 3.632
3.632 3.632 0.000
ATOMIC_POSITIONS angstrom
Pm 0.000 0.000 0.000
Pu 3.632 3.632 3.632
Cu 5.448 5.448 5.448
Ag 1.816 1.816 1.816

No. 3
! KY2BiO PBE-GGA relaxed; values from VASP
! Total magnetic moment   0.0 μB/cell
! Formation energy without anion corrections   -852 meV/atom
! Space-group type   P4/mmm (123)
&SYSTEM
  ibrav = 0, nat = 5, ntyp = 4
/
ATOMIC_SPECIES
K 39.10 K.upf
Y 88.91 Y.upf
Bi 208.98 Bi.upf
O 16.00 O.upf
CELL_PARAMETERS angstrom
4.736 0.000 0.000
0.000 4.736 0.000
0.000 0.000 6.144
ATOMIC_POSITIONS angstrom
K 0.000 0.000 0.000
Y 0.000 2.368 3.072
Y 2.368 0.000 3.072
Bi 2.368 2.368 0.000
O 2.368 2.368 3.072

No. 4
! CrCd2Cl PBE-GGA relaxed; values from VASP
! Total magnetic moment   4.1 μB/cell
! Formation energy without anion corrections   38 meV/atom
! Excess energy over the best structure of this formula in the dataset   64.8 meV/atom
! Space-group type   Cmmm (65)
&SYSTEM
  ibrav = 0, nat = 4, ntyp = 3
/
ATOMIC_SPECIES
Cr 52.00 Cr.upf
Cd 112.41 Cd.upf
Cl 35.45 Cl.upf
CELL_PARAMETERS angstrom
2.292 -2.309 0.000
2.292 2.309 0.000
0.000 0.000 7.960
ATOMIC_POSITIONS angstrom
Cr 0.000 0.000 0.000
Cd 2.292 0.000 1.850
Cd 2.292 0.000 6.110
Cl 0.000 0.000 3.980

No. 5
! LiMg2Cd2In PBE-GGA relaxed; values from VASP
! Total magnetic moment   0.0 μB/cell
! Space-group type   Pmc2_1 (26)
! E_form   -0.1373 eV/atom
&SYSTEM
  ibrav = 0, nat = 12, ntyp = 4
/
ATOMIC_SPECIES
Li 6.94 Li.upf
Mg 24.30 Mg.upf
Cd 112.41 Cd.upf
In 114.82 In.upf
CELL_PARAMETERS angstrom
4.347 0.000 0.000
0.000 9.265 0.000
0.000 0.000 6.408
ATOMIC_POSITIONS angstrom
Li 0.000 0.114 0.000
Li 0.000 9.151 3.204
Mg 0.000 2.993 3.219
Mg 0.000 6.273 0.015
Mg 2.174 4.621 4.849
Mg 2.174 4.645 1.645
Cd 0.000 3.141 0.036
Cd 0.000 6.124 3.240
Cd 2.174 1.546 1.603
Cd 2.174 7.719 4.807
In 2.174 1.480 4.800
In 2.174 7.785 1.596

No. 6
! Y5TmSb6 PBE-GGA relaxed; values from VASP
! Total magnetic moment   0.0 μB/cell
! Formation energy without anion corrections   -1149 meV/atom
! Space-group type   C2/m (12)
&SYSTEM
  ibrav = 0, nat = 12, ntyp = 3
/
ATOMIC_SPECIES
Y 88.91 Y.upf
Tm 168.93 Tm.upf
Sb 121.76 Sb.upf
CELL_PARAMETERS angstrom
3.796 -6.574 0.000
3.796 6.574 0.000
-2.530 0.000 7.154
ATOMIC_POSITIONS angstrom
Y 0.000 0.000 0.000
Y 2.531 4.386 3.577
Y 3.796 2.203 0.000
Y 3.796 -2.203 0.000
Y 2.531 -4.386 3.577
Tm 2.531 0.000 3.577
Sb 1.274 2.177 1.800
Sb 0.018 0.000 5.360
Sb 1.274 -2.177 1.800
Sb 3.788 2.177 5.354
Sb 5.044 0.000 1.795
Sb 3.788 -2.177 5.354

No. 7
! SrAlH2F8 PBE-GGA relaxed; values from VASP
! Final energy   -4.8498 eV per atom
! Total magnetic moment   1.0 μB/cell
! Space-group type   P-1 (2)
&SYSTEM
  ibrav = 0, nat = 12, ntyp = 4
/
ATOMIC_SPECIES
Sr 87.62 Sr.upf
Al 26.98 Al.upf
H 1.01 H.upf
F 19.00 F.upf
CELL_PARAMETERS angstrom
4.534 0.000 0.000
2.064 4.040 0.000
0.030 0.020 7.722
ATOMIC_POSITIONS angstrom
Sr 0.000 0.000 0.000
Al 0.015 0.010 3.861
H 3.313 2.029 5.256
H 3.315 2.030 2.466
F 1.517 0.929 3.863
F 2.716 3.005 5.285
F 2.717 3.006 2.437
F 2.075 1.264 0.012
F 4.553 2.795 7.710
F 3.911 1.053 5.285
F 3.913 1.054 2.437
F 5.111 3.131 3.859

No. 8
! Mg3Ga4Pt2 PBE-GGA relaxed; values from VASP
! Total magnetic moment   0.0 μB/cell
! Space-group type   C2/m (12)
! E_form   -0.5553 eV/atom
&SYSTEM
  ibrav = 0, nat = 9, ntyp = 3
/
ATOMIC_SPECIES
Mg 24.30 Mg.upf
Ga 69.72 Ga.upf
Pt 195.08 Pt.upf
CELL_PARAMETERS angstrom
4.918 -2.173 0.000
4.918 2.173 0.000
-4.057 0.000 7.270
ATOMIC_POSITIONS angstrom
Mg 0.000 0.000 0.000
Mg 2.008 0.000 2.366
Mg 3.770 0.000 4.904
Ga -0.806 0.000 3.087
Ga -0.887 0.000 7.093
Ga 6.665 0.000 0.178
Ga 6.584 0.000 4.183
Pt 0.885 0.000 5.275
Pt 4.893 0.000 1.995

No. 9
! SrSmTc2O8 PBE-GGA relaxed; values from VASP
! Total magnetic moment   3.0 μB/cell
! Formation energy without anion corrections   -2027 meV/atom
! Space-group type   P-3m1 (164)
&SYSTEM
  ibrav = 0, nat = 12, ntyp = 4
/
ATOMIC_SPECIES
Sr 87.62 Sr.upf
Sm 150.36 Sm.upf
Tc 98.00 Tc.upf
O 16.00 O.upf
CELL_PARAMETERS angstrom
5.949 0.000 0.000
-2.975 5.152 0.000
0.000 0.000 7.271
ATOMIC_POSITIONS angstrom
Sr 0.000 0.000 0.000
Sm 0.000 0.000 3.635
Tc 0.000 3.435 5.792
Tc 2.975 1.717 1.479
O 0.000 1.694 5.222
O -1.508 4.305 5.222
O 1.467 0.847 2.049
O 0.000 3.435 0.286
O 2.975 1.717 6.985
O 1.508 4.305 5.222
O 4.482 0.847 2.049
O 2.975 3.459 2.049